[1]
Tb2SeOF2: relaxed, PBEsol.

Lattice parameters (Å, degrees): 3.710 13.270 13.270 120.00 90.00 90.00
Atoms (fractional coordinates):
O1 0.250 0.588 0.573
F1 0.250 0.208 0.107
Tb1 0.750 0.515 0.118
F2 0.250 0.685 0.933
F3 0.250 0.893 0.101
Tb2 0.750 0.289 0.234
Tb3 0.750 0.766 0.056
F4 0.750 0.315 0.067
F5 0.250 0.899 0.792
O2 0.750 0.014 0.588
Se1 0.250 0.794 0.512
O3 0.750 0.412 0.427
O4 0.250 0.986 0.412
O5 0.750 0.573 0.986
Se2 0.750 0.282 0.794
Tb4 0.250 0.711 0.766
Tb5 0.750 0.882 0.397
Tb6 0.250 0.397 0.515
F6 0.750 0.107 0.899
Tb7 0.250 0.234 0.944
Se3 0.750 0.512 0.718
Se4 0.250 0.718 0.206
F7 0.250 0.067 0.752
F8 0.750 0.792 0.893
F9 0.750 0.752 0.685
Tb8 0.250 0.485 0.882
Tb9 0.750 0.944 0.711
F10 0.250 0.248 0.315
O6 0.250 0.427 0.014
F11 0.750 0.933 0.248
Se5 0.250 0.488 0.282
Tb10 0.250 0.118 0.603
Se6 0.750 0.206 0.488
F12 0.750 0.101 0.208
Tb11 0.750 0.603 0.485
Tb12 0.250 0.056 0.289

Results
Total magnetic moment: 0.00 μB/atom
Uncorrected energy: -7.30 eV per atom
Volume: 15.71 Å³ per atom
Energy relative to the elements, uncorrected: -3.467 eV/atom
Space group: P6_3/m (176)

***

[2]
TiSeOF2: relaxed, PBEsol.

Lattice parameters (Å, degrees): 3.798 4.114 4.114 90.00 90.00 90.00
Atoms (fractional coordinates):
F1 0.000 0.000 0.500
Se1 0.500 0.500 0.500
O1 0.500 0.000 0.000
F2 0.000 0.500 0.000
Ti1 0.000 0.000 0.000

Results
Total magnetic moment: 0.50 μB/atom
Uncorrected energy: -6.05 eV per atom
Volume: 12.85 Å³ per atom
Energy relative to the elements, uncorrected: -1.798 eV/atom
Space group: P4/mmm (123)

***

[3]
YSeOF2: relaxed, PBEsol.

Lattice parameters (Å, degrees): 3.762 4.667 4.667 90.00 90.00 90.00
Atoms (fractional coordinates):
O1 0.500 0.000 0.000
Se1 0.000 0.000 0.000
Y1 0.500 0.500 0.500
F1 0.000 0.500 0.000
F2 0.000 0.000 0.500

Results
Total magnetic moment: 0.00 μB/atom
Uncorrected energy: -5.08 eV per atom
Volume: 16.39 Å³ per atom
Energy relative to the elements, uncorrected: -1.121 eV/atom
Space group: P4/mmm (123)

***

[4]
TlSiO2F: relaxed, PBEsol.

Lattice parameters (Å, degrees): 3.540 3.540 4.539 90.00 90.00 90.00
Atoms (fractional coordinates):
Tl1 0.500 0.500 0.500
O1 0.000 0.500 0.000
F1 0.000 0.000 0.500
O2 0.500 0.000 0.000
Si1 0.000 0.000 0.000

Results
Total magnetic moment: 0.00 μB/atom
Uncorrected energy: -5.87 eV per atom
Volume: 11.38 Å³ per atom
Energy relative to the elements, uncorrected: -1.708 eV/atom
Space group: P4/mmm (123)

***

[5]
TlSiO2F: relaxed, PBEsol.

Lattice parameters (Å, degrees): 4.238 4.238 4.297 90.00 90.00 90.00
Atoms (fractional coordinates):
O1 0.000 0.500 0.000
Tl1 0.000 0.000 0.000
F1 0.000 0.000 0.500
O2 0.500 0.000 0.000
Si1 0.500 0.500 0.500

Results
Total magnetic moment: 0.00 μB/atom
Uncorrected energy: -4.38 eV per atom
Volume: 15.44 Å³ per atom
Energy relative to the elements, uncorrected: -0.220 eV/atom
Space group: P4/mmm (123)

***

[6]
Sn2OF2: relaxed, PBEsol.

Lattice parameters (Å, degrees): 5.127 5.960 5.960 80.81 83.71 83.71
Atoms (fractional coordinates):
O1 0.305 0.612 0.612
Sn1 0.009 0.792 0.792
F1 0.798 0.866 0.484
F2 0.202 0.516 0.134
F3 0.202 0.134 0.516
Sn2 0.991 0.208 0.208
Sn3 0.500 0.714 0.286
Sn4 0.500 0.286 0.714
O2 0.695 0.388 0.388
F4 0.798 0.484 0.866

Results
Total magnetic moment: 0.00 μB/atom
Uncorrected energy: -5.40 eV per atom
Volume: 17.79 Å³ per atom
Energy relative to the elements, uncorrected: -1.873 eV/atom
Space group: C2/m (12)